No. 1
Below is a relaxed structure of Mn3ZnAs, with properties calculated at the PBE-GGA level.

```
5
Lattice="4.5587 0.0000 0.0000 0.0000 4.5587 0.0000 0.0000 0.0000 4.5587" Properties=species:S:1:pos:R:3 pbc="T T T"
Mn 0.0000 0.0000 2.2794
Mn 0.0000 2.2794 0.0000
Mn 2.2794 0.0000 0.0000
Zn 2.2794 2.2794 2.2794
As 0.0000 0.0000 0.0000
```

Properties
Calculated density = 5348 kg/m³
ΔE to the lowest computed polymorph = 0 meV/atom
SG = No. 221

No. 2
Below is a relaxed structure of ZrMn3As, with properties calculated at the PBE-GGA level.

```
5
Lattice="4.5121 0.0000 0.0000 0.0000 4.5121 0.0000 0.0000 0.0000 4.5121" Properties=species:S:1:pos:R:3 pbc="T T T"
Zr 0.0000 0.0000 0.0000
Mn 0.0000 2.2560 2.2560
Mn 2.2560 0.0000 2.2560
Mn 2.2560 2.2560 0.0000
As 2.2560 2.2560 2.2560
```

Properties
Calculated density = 5983 kg/m³
ΔE to the lowest computed polymorph = 0 meV/atom
SG = No. 221

No. 3
Below is a relaxed structure of ZrMn2As, with properties calculated at the PBE-GGA level.

```
4
Lattice="3.3606 0.0000 0.0000 0.0000 3.3606 0.0000 0.0000 0.0000 5.6349" Properties=species:S:1:pos:R:3 pbc="T T T"
Zr 0.0000 0.0000 0.0000
Mn 1.6803 1.6803 1.5271
Mn 1.6803 1.6803 4.1078
As 0.0000 0.0000 2.8175
```

Properties
Calculated density = 7202 kg/m³
SG = No. 123

no.,energy of formation (eV per formula unit),volume (Å³ per cell)
1,2.93,94.7
2,1.86,91.9
3,-0.61,63.6